The following is a GGA-PBE calculation of an optimized crystal structure of SiI4, from the Alexandria database.

Summary:
Symmetry: Pa-3
DOS(E_F), states/eV/f.u.: 0.0
Calculated volume, Å³/cell: 2156.4
Electronic total energy, eV/f.u.: -13.389

abc: 12.919 12.919 12.919
angles: 90.00 90.00 90.00
Positions (direct):
1 I 0.011 0.257 0.538
2 I 0.989 0.743 0.462
3 I 0.743 0.038 0.489
4 I 0.757 0.538 0.489
5 I 0.256 0.744 0.244
6 I 0.538 0.011 0.257
7 I 0.462 0.989 0.743
8 I 0.989 0.757 0.962
9 I 0.744 0.244 0.256
10 I 0.489 0.743 0.038
11 I 0.511 0.243 0.462
12 I 0.257 0.538 0.011
13 I 0.462 0.511 0.243
14 I 0.538 0.489 0.757
15 I 0.038 0.489 0.743
16 I 0.243 0.038 0.011
17 I 0.756 0.756 0.756
18 I 0.011 0.243 0.038
19 I 0.038 0.011 0.243
20 I 0.757 0.962 0.989
21 I 0.244 0.244 0.244
22 I 0.744 0.256 0.756
23 I 0.489 0.757 0.538
24 I 0.962 0.511 0.257
25 I 0.743 0.462 0.989
26 I 0.244 0.256 0.744
27 I 0.511 0.257 0.962
28 I 0.962 0.989 0.757
29 I 0.756 0.744 0.256
30 I 0.257 0.962 0.511
31 I 0.256 0.756 0.744
32 I 0.243 0.462 0.511
33 Si 0.866 0.634 0.366
34 Si 0.134 0.134 0.134
35 Si 0.634 0.366 0.866
36 Si 0.134 0.366 0.634
37 Si 0.634 0.134 0.366
38 Si 0.866 0.866 0.866
39 Si 0.366 0.634 0.134
40 Si 0.366 0.866 0.634